[1]
Here is ScRu3 after structural relaxation from Alexandria. Energies are from GGA-PBE.

Computed properties:
Energy = -0.315 hartree per atom
Energy of formation = -0.04 eV/atom

abc: 3.8925 3.8925 8.0328
angles: 90.00 90.00 90.00
Space group I4/mmm (No. 139)
Unique sites:
Sc1 0.0000 0.0000 0.0000 x2
Ru1 0.0000 0.0000 0.5000 x2
Ru2 0.0000 0.5000 0.2500 x4

---

[2]
Here is VIn after structural relaxation from Alexandria. Energies are from GGA-PBE.

Computed properties:
Energy = -0.210 hartree per atom
Energy of formation = 0.22 eV/atom

abc: 4.8138 3.3741 9.5332
angles: 90.00 104.26 90.00
Space group Cm (No. 8)
Unique sites:
V1 0.0000 0.0000 0.0000 x2
V2 0.0941 0.5000 0.1881 x2
In1 0.2313 0.0000 0.4362 x2
In2 0.3713 0.0000 0.7519 x2

---

[3]
Here is Hf7Co2Rh2 after structural relaxation from Alexandria. Energies are from GGA-PBE.

Computed properties:
Energy = -0.345 hartree per atom
Energy of formation = -0.41 eV/atom
ΔE to the lowest computed polymorph = 0.000 eV/atom

abc: 3.1876 14.2322 9.0280
angles: 90.00 90.00 90.00
Space group Imm2 (No. 44)
Unique sites:
Hf1 0.0000 0.0000 0.0000 x2
Hf2 0.0000 0.1187 0.4610 x4
Hf3 0.0000 0.3284 0.6559 x4
Hf4 0.0000 0.3485 0.2862 x4
Co1 0.0000 0.2414 0.9698 x4
Rh1 0.0000 0.0000 0.7026 x2
Rh2 0.0000 0.5000 0.7791 x2

---

[4]
Here is NaCdGeBi after structural relaxation from Alexandria. Energies are from GGA-PBE.

Computed properties:
Energy = -0.098 hartree per atom
Energy of formation = 0.02 eV/atom

abc: 7.4243 7.4243 7.4243
angles: 90.00 90.00 90.00
Space group F-43m (No. 216)
Unique sites:
Na1 0.0000 0.0000 0.0000 x4
Cd1 0.2500 0.2500 0.2500 x4
Ge1 0.0000 0.0000 0.5000 x4
Bi1 0.2500 0.2500 0.7500 x4